The following is a PBE-GGA calculation of crystalline U2Nb3Si4 at its relaxed geometry, from Alexandria.

Properties
For the total DFT energy (no corrections), the calculation gives -8.847 eV/atom.

Lattice parameters (Å, degrees): 7.0480 7.0559 6.8814 90.00 109.57 90.00
With the nearest neighbours (Å) after each atom.
Space group P2_1/c (No. 14)
Inequivalent atoms, fractional coordinates:
U 0.1839 0.1664 0.0619 x4  7 Si 2.83-3.05
Nb 0.2506 0.6747 0.2479 x4  6 Si 2.61-2.68
Nb 0.5000 0.0000 0.5000 x2  6 Si 2.71-2.79
Si 0.0818 0.5391 0.8654 x4  1 Si 2.55, 4 Nb 2.61-2.79, 1 U 2.83
Si 0.4935 0.1267 0.8702 x4  1 Si 2.51, 5 Nb 2.62-2.78

=====

The following is a PBE-GGA calculation of crystalline ScPd2Au at its relaxed geometry, from Alexandria.

Properties
Its formation energy is -2.77 eV per formula unit. The offset from the most stable computed form is 135 meV per atom.

Lattice parameters (Å, degrees): 3.4290 3.4290 5.8622 90.00 90.00 90.00
With the nearest neighbours (Å) after each atom.
Space group P4/mmm (No. 123)
Inequivalent atoms, fractional coordinates:
Sc 0.0000 0.0000 0.0000 x1  8 Pd 2.82, 2 Au 2.93
Pd 0.5000 0.5000 0.2444 x2  4 Sc 2.82, 4 Au 2.85, 2 Pd 2.87-3.00
Au 0.0000 0.0000 0.5000 x1  8 Pd 2.85, 2 Sc 2.93

=====

The following is a PBE-GGA calculation of crystalline CoB2Ir at its relaxed geometry, from Alexandria.

Properties
Its formation energy is 2.87 eV per formula unit. The offset from the most stable computed form is 814 meV per atom.

Lattice parameters (Å, degrees): 2.7103 2.7103 21.2908 90.00 90.00 120.00
With the nearest neighbours (Å) after each atom.
Space group R-3m (No. 166, hexagonal axes)
Inequivalent atoms, fractional coordinates:
Co 0.0000 0.0000 0.0000 x3  2 B 1.95
B 0.0000 0.0000 0.0915 x6  1 Co 1.95
Ir 0.0000 0.0000 0.5000 x3  6 B 2.24

=====

The following is a PBE-GGA calculation of crystalline CdAsSN2 at its relaxed geometry, from Alexandria.

Properties
The offset from the most stable computed form is 0 meV per atom.

Lattice parameters (Å, degrees): 3.7251 3.7251 5.6470 90.00 90.00 90.00
With the nearest neighbours (Å) after each atom.
Space group P4/mmm (No. 123)
Inequivalent atoms, fractional coordinates:
Cd 0.0000 0.0000 0.0000 x1  4 S 2.63
As 0.5000 0.5000 0.5000 x1  4 N 1.86
S 0.5000 0.5000 0.0000 x1  4 Cd 2.63, 2 As 2.82
N 0.0000 0.5000 0.5000 x2  2 As 1.86